Computed, not measured: crystalline CoB2O4 at its relaxed geometry at the PBE with a Hubbard U level of DFT.

Summary:
VASP energy in eV/atom: -7.46
D(E_F) in states/eV per atom: 0.00
Total magnetization in μB per formula unit: 3.012

abc: 9.4499 5.6306 4.4737
angles: 90.00 107.51 90.00
Last column: nearest neighbours and their distance in Å.
Space group C2/c (No. 15)
Inequivalent atoms, fractional coordinates:
Co1 0.0000 0.1592 0.2500 (multiplicity 4)  6 O 2.09-2.27
B1 0.1867 0.3926 0.8765 (multiplicity 8)  4 O 1.45-1.53
O1 0.1388 0.4131 0.5376 (multiplicity 8)  2 B 1.45-1.46
O2 0.1461 0.1507 0.9814 (multiplicity 8)  2 B 1.53